Crystalline YMg2PdPt at its relaxed geometry, computed with GGA-PBEsol.

formation energy from the elements: 1.382 eV per atom
total magnetization: 0.00 μB per formula unit

Unit cell a=4.7180 b=5.4521 c=5.4521 alpha=90.00 beta=90.00 gamma=90.00
With the nearest neighbours (Å) after each atom.
Atoms (fractional coordinates):
Y: 0.0000 0.0000 0.0000  2 Pd 2.36
Mg: 0.0000 0.0000 0.5000  2 Y 2.73
Mg: 0.0000 0.5000 0.0000  2 Y 2.73
Pd: 0.5000 0.0000 0.0000  2 Y 2.36
Pt: 0.5000 0.5000 0.5000  8 Mg 3.61, 4 Pd 3.86